[1]
TlTeH3 meta-GGA SCAN single point on PBEsol structure; DOS(E_F) = 0.1912 states/eV per atom; uncorrected energy = -23.462 eV/atom
1.0
-3.923 0.020 -1.281
-0.865 -3.084 2.602
-0.945 2.742 2.936
H Tl Te
3 1 1
direct
0.000 0.500 0.000
0.000 0.000 0.500
0.500 0.000 0.000
0.500 0.500 0.500
0.000 0.000 0.000



[2]
Zn2H10Cl4O5 meta-GGA SCAN single point on PBEsol structure; DOS(E_F) = 0.0000 states/eV per atom; uncorrected energy = -7.057 eV/atom
1.0
-6.781 2.436 1.289
-0.725 -5.980 7.489
8.794 8.859 7.925
Zn H Cl O
8 40 16 20
direct
0.785 0.241 0.159
0.285 0.259 0.659
0.215 0.759 0.841
0.715 0.741 0.341
0.456 0.243 0.353
0.956 0.257 0.853
0.544 0.757 0.647
0.044 0.743 0.147
0.709 0.400 0.004
0.209 0.100 0.504
0.291 0.600 0.996
0.791 0.900 0.496
0.517 0.348 0.024
0.017 0.152 0.524
0.483 0.652 0.976
0.983 0.848 0.476
0.103 0.157 0.116
0.603 0.343 0.616
0.897 0.843 0.884
0.397 0.657 0.384
0.112 0.322 0.120
0.612 0.178 0.620
0.888 0.678 0.880
0.388 0.822 0.380
0.698 0.975 0.087
0.198 0.525 0.587
0.302 0.025 0.913
0.802 0.475 0.413
0.730 0.079 0.010
0.230 0.421 0.510
0.270 0.921 0.990
0.770 0.579 0.490
0.000 0.429 0.279
0.500 0.071 0.779
0.000 0.571 0.721
0.500 0.929 0.221
0.782 0.484 0.239
0.282 0.016 0.739
0.218 0.516 0.761
0.718 0.984 0.261
0.013 0.080 0.301
0.513 0.420 0.801
0.987 0.920 0.699
0.487 0.580 0.199
0.850 0.162 0.332
0.350 0.338 0.832
0.150 0.838 0.668
0.650 0.662 0.168
0.472 0.236 0.202
0.972 0.264 0.702
0.528 0.764 0.798
0.028 0.736 0.298
0.297 0.052 0.382
0.797 0.448 0.882
0.703 0.948 0.618
0.203 0.552 0.118
0.760 0.251 0.440
0.260 0.249 0.940
0.240 0.749 0.560
0.740 0.751 0.060
0.292 0.433 0.376
0.792 0.067 0.876
0.708 0.567 0.624
0.208 0.933 0.124
0.647 0.379 0.055
0.147 0.121 0.555
0.353 0.621 0.945
0.853 0.879 0.445
0.025 0.242 0.111
0.525 0.258 0.611
0.975 0.758 0.889
0.475 0.742 0.389
0.694 0.075 0.070
0.194 0.425 0.570
0.306 0.925 0.930
0.806 0.575 0.430
0.868 0.401 0.251
0.368 0.099 0.751
0.132 0.599 0.749
0.632 0.901 0.249
0.878 0.109 0.278
0.378 0.391 0.778
0.122 0.891 0.722
0.622 0.609 0.222



[3]
Be2TeI meta-GGA SCAN single point on PBEsol structure; E_form (uncorrected) = 957 meV per atom; DOS(E_F) = 0.5097 states/eV per atom
1.0
4.795 0.000 0.000
2.397 4.152 0.000
2.397 1.384 3.915
I Be Te
1 2 1
direct
0.500 0.500 0.500
0.250 0.250 0.250
0.750 0.750 0.750
0.000 0.000 0.000



[4]
Li2CuP3H2O10 meta-GGA SCAN single point on PBEsol structure; DOS(E_F) = 0.0000 states/eV per atom; uncorrected energy = -8.715 eV/atom
1.0
7.056 -0.093 -0.093
2.248 7.460 -0.104
2.094 1.959 7.324
P Li Cu O H
6 4 2 20 4
direct
0.303 0.918 0.888
0.751 0.271 0.736
0.190 0.302 0.655
0.810 0.698 0.345
0.249 0.729 0.264
0.697 0.082 0.112
0.328 0.345 0.974
0.406 0.658 0.636
0.594 0.342 0.364
0.672 0.655 0.026
0.705 0.943 0.607
0.295 0.057 0.393
0.907 0.689 0.842
0.524 0.876 0.884
0.817 0.108 0.906
0.228 0.822 0.788
0.591 0.422 0.799
0.956 0.341 0.651
0.221 0.138 0.832
0.687 0.750 0.516
0.228 0.464 0.696
0.710 0.189 0.602
0.290 0.811 0.398
0.772 0.536 0.304
0.313 0.250 0.484
0.779 0.862 0.168
0.044 0.659 0.349
0.409 0.578 0.201
0.772 0.178 0.212
0.183 0.892 0.094
0.476 0.124 0.116
0.093 0.311 0.158
0.001 0.765 0.840
0.002 0.596 0.782
0.998 0.404 0.218
0.999 0.235 0.160



| no. | mass density (g/cm3) |
| --- | --- |
| 1 | 7.91 |
| 2 | 2.40 |
| 3 | 5.81 |
| 4 | 2.83 |